Compound: Tb2PmSmAs4
Source: the Alexandria database
Functional: PBE-GGA
Structure: optimized geometry

Summary:
* space group: P2/m (10)
* DFT total energy: -49.6 eV for the cell shown
* energy of formation from the pure elements: -1533 meV per atom

Unit cell a=7.2430 b=4.1850 c=7.2442 alpha=90.00 beta=109.47 gamma=90.00
With the nearest neighbours (Å) after each atom.
Sites, in units of the cell vectors:
Tb: 0.0000 0.0000 0.0000  6 As 2.93
Tb: 0.0000 0.5000 0.5000  6 As 2.94
Pm: 0.5000 0.0000 0.5000  6 As 2.98
Sm: 0.5000 0.5000 0.0000  6 As 2.98
As: 0.2443 0.5000 0.2475  3 Tb 2.93-2.94, 1 Sm 2.98, 2 Pm 2.98
As: 0.2449 0.0000 0.7489  3 Tb 2.93-2.94, 2 Sm 2.98, 1 Pm 2.98
As: 0.7551 0.0000 0.2511  3 Tb 2.93-2.94, 2 Sm 2.98, 1 Pm 2.98
As: 0.7557 0.5000 0.7525  3 Tb 2.93-2.94, 1 Sm 2.98, 2 Pm 2.98